# Tl2RhI5

Tl2RhI5 after structural relaxation (PBE-GGA, the Alexandria database).

Results
The formation energy without anion corrections is -7.8 kcal/mol of atoms. The value obtained for the mass density is 6.1 g/cm3. The calculation puts the total DFT energy (no corrections) at -22.54 eV per cell.

Cell: 5.6047 7.1657 9.1318 Å, 68.32 74.16 67.25°
With the nearest neighbours (Å) after each atom.
Space group P1 (No. 1)
Asymmetric unit:
Tl 0.0000 0.0000 0.0000 x1  5 I 3.32-3.55
Tl 0.4539 0.7352 0.3163 x1  4 I 3.34-3.73
Rh 0.7428 0.8315 0.6566 x1  6 I 2.66-2.84
I 0.2555 0.7779 0.6909 x1  2 Rh 2.82-2.84
I 0.5269 0.1451 0.7891 x1  1 Rh 2.66
I 0.7216 0.1190 0.3662 x1  1 Rh 2.69
I 0.7541 0.5479 0.9567 x1  1 Rh 2.74
I 0.9632 0.5235 0.5133 x1  1 Rh 2.69


# TlRhI

TlRhI after structural relaxation (PBE-GGA, the Alexandria database).

Results
The formation energy without anion corrections is 2.6 kcal/mol of atoms. The value obtained for the mass density is 8.8 g/cm3. The calculation puts the total DFT energy (no corrections) at -87.44 eV per cell.

Cell: 5.9823 16.4895 6.6778 Å, 90.00 90.00 90.00°
With the nearest neighbours (Å) after each atom.
Space group Cmce (No. 64)
Asymmetric unit:
Tl 0.0000 0.0748 0.1362 x8  4 Rh 2.91-2.98, 1 Tl 3.07
Rh 0.2500 0.0695 0.7500 x8  2 I 2.63, 2 Tl 2.91
I 0.0000 0.1763 0.5628 x8  2 Rh 2.63


# TlRh2I4

TlRh2I4 after structural relaxation (PBE-GGA, the Alexandria database).

Results
The formation energy without anion corrections is 8.4 kcal/mol of atoms. The value obtained for the mass density is 5.8 g/cm3. The calculation puts the total DFT energy (no corrections) at -41.46 eV per cell.

Cell: 6.0548 6.0548 14.2661 Å, 90.00 90.00 90.00°
With the nearest neighbours (Å) after each atom.
Space group I4/mmm (No. 139)
Asymmetric unit:
Tl 0.0000 0.0000 0.0000 x2  6 I 3.03-3.36
Rh 0.0000 0.0000 0.4182 x4  1 Rh 2.33, 1 I 2.60
I 0.0000 0.0000 0.2357 x4  1 Rh 2.60
I 0.0000 0.5000 0.0000 x4  2 Tl 3.03, 4 Rh 3.24


# TlRhI4

TlRhI4 after structural relaxation (PBE-GGA, the Alexandria database).

Results
The formation energy without anion corrections is -7.3 kcal/mol of atoms. The value obtained for the mass density is 6.2 g/cm3. The calculation puts the total DFT energy (no corrections) at -35.66 eV per cell.

Cell: 12.5674 4.1442 8.9579 Å, 90.00 111.32 90.00°
With the nearest neighbours (Å) after each atom.
Space group C2/m (No. 12)
Asymmetric unit:
Tl 0.0000 0.0000 0.0000 x2  6 I 3.55-3.67
Rh 0.0000 0.5000 0.5000 x2  6 I 2.71-2.73
I 0.1177 0.0000 0.4393 x4  2 Rh 2.71
I 0.1443 0.5000 0.8124 x4  1 Rh 2.73